DFT (PBE) results for a relaxed La2YIn2 crystal. Values from VASP.

energy relative to the elements: -0.41 eV per atom
M_tot: 0.0 μB/cell
offset from the most stable computed form: 0.006 eV/atom
uncorrected energy: -4.7657 eV/atom

Geometry as Quantum ESPRESSO input:
```
&SYSTEM
  ibrav = 0, nat = 5, ntyp = 3
/
ATOMIC_SPECIES
La 138.91 La.upf
Y 88.91 Y.upf
In 114.82 In.upf
CELL_PARAMETERS angstrom
5.1365 0.0000 0.0000
2.5683 5.5680 -0.2757
2.5683 1.2255 5.4385
ATOMIC_POSITIONS crystal
La 0.1872 0.3128 0.3128
La 0.8128 0.6872 0.6872
Y 0.0000 0.0000 0.0000
In 0.5000 0.2852 0.7148
In 0.5000 0.7148 0.2852
```



DFT (PBE) results for a relaxed La2YIn crystal. Values from VASP.

energy relative to the elements: -0.23 eV per atom
M_tot: 0.0 μB/cell
uncorrected energy: -4.9946 eV/atom

Geometry as Quantum ESPRESSO input:
```
&SYSTEM
  ibrav = 0, nat = 4, ntyp = 3
/
ATOMIC_SPECIES
Y 88.91 Y.upf
In 114.82 In.upf
La 138.91 La.upf
CELL_PARAMETERS angstrom
3.7976 0.0000 0.0000
0.0000 4.8161 0.0000
0.0000 0.0000 7.0813
ATOMIC_POSITIONS crystal
Y 0.5000 0.5000 0.2500
In 0.5000 0.5000 0.7500
La 0.0000 0.0000 0.9837
La 0.0000 0.0000 0.5163
```



DFT (PBE) results for a relaxed La2YIn crystal. Values from VASP.

energy relative to the elements: -0.17 eV per atom
M_tot: 0.0 μB/cell
uncorrected energy: -4.9303 eV/atom

Geometry as Quantum ESPRESSO input:
```
&SYSTEM
  ibrav = 0, nat = 4, ntyp = 3
/
ATOMIC_SPECIES
In 114.82 In.upf
La 138.91 La.upf
Y 88.91 Y.upf
CELL_PARAMETERS angstrom
5.9299 0.0000 0.0000
0.0000 3.5696 -0.0076
0.0000 0.7229 5.9769
ATOMIC_POSITIONS crystal
In 0.5000 0.7500 0.7500
La 0.0000 0.9581 0.9785
La 0.0000 0.5419 0.5215
Y 0.5000 0.2500 0.2500
```



DFT (PBE) results for a relaxed La6YIn5 crystal. Values from VASP.

energy relative to the elements: -0.40 eV per atom
M_tot: 0.0 μB/cell
uncorrected energy: -4.5473 eV/atom

Geometry as Quantum ESPRESSO input:
```
&SYSTEM
  ibrav = 0, nat = 12, ntyp = 3
/
ATOMIC_SPECIES
Y 88.91 Y.upf
In 114.82 In.upf
La 138.91 La.upf
CELL_PARAMETERS angstrom
5.1065 0.0021 -1.0686
-0.0040 8.9876 -0.0009
-0.9145 0.0005 8.4128
ATOMIC_POSITIONS crystal
Y 0.0000 0.0000 0.0000
In 0.6683 0.5000 0.3368
In 0.3554 0.0000 0.7105
In 0.0000 0.5000 0.0000
In 0.6446 0.0000 0.2895
In 0.3317 0.5000 0.6632
La 0.8245 0.7508 0.6488
La 0.8245 0.2492 0.6488
La 0.5000 0.2681 0.0000
La 0.5000 0.7319 0.0000
La 0.1755 0.7508 0.3512
La 0.1755 0.2492 0.3512
```



DFT (PBE) results for a relaxed La5YIn3 crystal. Values from VASP.

energy relative to the elements: -0.37 eV per atom
M_tot: 0.0 μB/cell
uncorrected energy: -4.7342 eV/atom

Geometry as Quantum ESPRESSO input:
```
&SYSTEM
  ibrav = 0, nat = 18, ntyp = 3
/
ATOMIC_SPECIES
La 138.91 La.upf
Y 88.91 Y.upf
In 114.82 In.upf
CELL_PARAMETERS angstrom
-2.0630 -2.4534 -6.2871
5.9858 -7.5610 0.9864
-9.1236 -0.5882 3.2232
ATOMIC_POSITIONS crystal
La 0.0000 0.6667 0.3333
La 0.5000 0.3333 0.6667
La 0.0000 0.3333 0.6667
La 0.5000 0.6667 0.3333
La 0.7500 0.6568 0.6569
La 0.7500 0.0000 0.3431
La 0.7500 0.3432 0.0000
La 0.2500 0.3432 0.3431
La 0.2500 0.0000 0.6569
La 0.2500 0.6568 0.0000
Y 0.0000 0.0000 0.0000
Y 0.5000 0.0000 0.0000
In 0.7500 0.3183 0.3183
In 0.7500 0.0000 0.6817
In 0.7500 0.6817 0.0000
In 0.2500 0.6817 0.6817
In 0.2500 0.0000 0.3183
In 0.2500 0.3183 0.0000
```



DFT (PBE) results for a relaxed La2YIn crystal. Values from VASP.

energy relative to the elements: -0.20 eV per atom
M_tot: 0.0 μB/cell
uncorrected energy: -4.9601 eV/atom

Geometry as Quantum ESPRESSO input:
```
&SYSTEM
  ibrav = 0, nat = 4, ntyp = 3
/
ATOMIC_SPECIES
In 114.82 In.upf
La 138.91 La.upf
Y 88.91 Y.upf
CELL_PARAMETERS angstrom
-4.5293 3.6618 -1.8928
0.1252 -5.1643 -3.2895
-2.2578 -1.5661 2.3729
ATOMIC_POSITIONS crystal
In 0.0000 0.5000 0.5000
La 0.0000 0.0000 0.0000
La 0.5000 0.5000 0.0000
Y 0.5000 0.0000 0.5000
```